Record 1
This record from the Alexandria database describes crystalline Sm4DyTe5 at its relaxed geometry. The functional is PBE-GGA.

Lattice parameters (Å, degrees): 6.2592 7.6673 7.6673 80.41 65.91 65.91
Fractional positions:
1 Te 0.1054 0.6046 0.1868
2 Dy 0.0008 0.0000 0.0000
3 Sm 0.1913 0.2159 0.4037
4 Te 0.2922 0.8132 0.6046
5 Te 0.8968 0.3954 0.8132
6 Sm 0.5950 0.5963 0.2159
7 Sm 0.4071 0.4037 0.7841
8 Sm 0.8108 0.7841 0.5963
9 Te 0.5010 0.0000 0.0000
10 Te 0.7100 0.1868 0.3954

Computed properties:
Its raw formation energy is -1.36 eV per atom.

***

Record 2
This record from the Alexandria database describes crystalline SmDy2Te4 at its relaxed geometry. The functional is PBE-GGA.

Lattice parameters (Å, degrees): 4.2754 7.4859 14.9878 90.00 90.00 106.59
Fractional positions:
1 Te 0.0357 0.0713 0.2500
2 Dy 0.1313 0.2627 0.0687
3 Te 0.7771 0.5541 0.3790
4 Te 0.2229 0.4459 0.6210
5 Te 0.5000 0.0000 0.5000
6 Te 0.7771 0.5541 0.1210
7 Te 0.5000 0.0000 0.0000
8 Sm 0.3734 0.7469 0.2500
9 Te 0.9643 0.9287 0.7500
10 Dy 0.8687 0.7373 0.5687
11 Sm 0.6266 0.2531 0.7500
12 Te 0.2229 0.4459 0.8790
13 Dy 0.8687 0.7373 0.9313
14 Dy 0.1313 0.2627 0.4313

Computed properties:
Its raw formation energy is -1.37 eV per atom. For the relative energy among the computed polymorphs, the calculation gives 0.0229 eV/atom.

***

Record 3
This record from the Alexandria database describes crystalline SmDyTe at its relaxed geometry. The functional is PBE-GGA.

Lattice parameters (Å, degrees): 4.2520 9.7325 9.7324 90.00 90.00 90.00
Fractional positions:
1 Te 0.5000 0.6394 0.8877
2 Dy 0.5000 0.8699 0.1384
3 Te 0.0000 0.8877 0.3606
4 Te 0.0000 0.1123 0.6394
5 Te 0.5000 0.3606 0.1123
6 Dy 0.0000 0.1384 0.1301
7 Sm 0.5000 0.1805 0.4092
8 Sm 0.0000 0.5908 0.1805
9 Sm 0.5000 0.8195 0.5908
10 Sm 0.0000 0.4092 0.8195
11 Dy 0.0000 0.8616 0.8699
12 Dy 0.5000 0.1301 0.8616

Computed properties:
Its raw formation energy is -0.60 eV per atom. For the relative energy among the computed polymorphs, the calculation gives 0.2026 eV/atom.

***

Record 4
This record from the Alexandria database describes crystalline Sm2DyTe3 at its relaxed geometry. The functional is PBE-GGA.

Lattice parameters (Å, degrees): 4.4381 6.2210 7.6351 114.04 106.90 90.00
Fractional positions:
1 Te 0.5000 0.0000 0.5000
2 Sm 0.8274 0.8274 0.1548
3 Te 0.1607 0.6607 0.8213
4 Dy 0.5000 0.5000 0.5000
5 Te 0.8393 0.3393 0.1787
6 Sm 0.1726 0.1726 0.8452

Computed properties:
Its raw formation energy is -1.35 eV per atom.

***

Record 5
This record from the Alexandria database describes crystalline Sm3DyTe6 at its relaxed geometry. The functional is PBE-GGA.

Lattice parameters (Å, degrees): 7.4005 8.2136 11.2804 90.00 90.65 90.00
Fractional positions:
1 Te 0.6635 0.1737 0.9184
2 Te 0.1635 0.3263 0.4184
3 Te 0.6658 0.4469 0.2534
4 Sm 0.0526 0.6201 0.2475
5 Dy 0.5000 0.5000 0.5000
6 Sm 0.9474 0.3799 0.7525
7 Te 0.3342 0.5531 0.7466
8 Sm 0.4474 0.1201 0.2525
9 Sm 0.0000 0.0000 0.5000
10 Te 0.3365 0.8263 0.0816
11 Sm 0.5526 0.8799 0.7475
12 Te 0.8365 0.6737 0.5816
13 Te 0.1587 0.3226 0.0800
14 Sm 0.5000 0.5000 0.0000
15 Te 0.6587 0.1774 0.5800
16 Dy 0.0000 0.0000 0.0000
17 Te 0.8413 0.6774 0.9200
18 Te 0.3413 0.8226 0.4200
19 Te 0.8342 0.9469 0.2466
20 Te 0.1658 0.0531 0.7534

Computed properties:
Its raw formation energy is -1.38 eV per atom. For the relative energy among the computed polymorphs, the calculation gives 0.0000 eV/atom.

***

Record 6
This record from the Alexandria database describes crystalline Sm3DyTe6 at its relaxed geometry. The functional is PBE-GGA.

Lattice parameters (Å, degrees): 7.8190 7.8190 8.4220 62.34 62.34 60.00
Fractional positions:
1 Sm 0.6546 0.6546 0.0363
2 Te 0.0608 0.4437 0.7471
3 Te 0.9404 0.5678 0.2500
4 Te 0.5678 0.2418 0.2500
5 Te 0.4437 0.7485 0.7471
6 Sm 0.1556 0.1556 0.5331
7 Sm 0.3441 0.3441 0.9677
8 Te 0.7485 0.0608 0.7471
9 Dy 0.8428 0.8428 0.4715
10 Te 0.2418 0.9404 0.2500

Computed properties:
Its raw formation energy is -1.37 eV per atom. For the relative energy among the computed polymorphs, the calculation gives 0.0023 eV/atom.

***

Record 7
This record from the Alexandria database describes crystalline SmDy5Te6 at its relaxed geometry. The functional is PBE-GGA.

Lattice parameters (Å, degrees): 7.5515 7.5652 7.5758 60.05 80.41 70.50
Fractional positions:
1 Dy 0.0000 0.3340 0.3320
2 Te 0.2548 0.9156 0.6594
3 Te 0.2548 0.5750 0.3406
4 Sm 0.0000 0.0000 0.0000
5 Dy 0.0000 0.6660 0.6680
6 Te 0.7452 0.0844 0.3406
7 Dy 0.5000 0.8408 0.3184
8 Te 0.7518 0.7430 0.0000
9 Te 0.7452 0.4250 0.6594
10 Dy 0.5000 0.1592 0.6816
11 Te 0.2482 0.2570 0.0000
12 Dy 0.5000 0.5000 0.0000

Computed properties:
Its raw formation energy is -1.30 eV per atom.

***

Record 8
This record from the Alexandria database describes crystalline Sm2Dy5Te4 at its relaxed geometry. The functional is PBE-GGA.

Lattice parameters (Å, degrees): 3.8183 3.8289 27.4807 119.19 93.98 90.00
Fractional positions:
1 Te 0.3172 0.7200 0.6344
2 Dy 0.9136 0.3952 0.8272
3 Dy 0.5000 0.0000 0.0000
4 Sm 0.2240 0.0676 0.4479
5 Dy 0.0864 0.6048 0.1728
6 Sm 0.7760 0.9324 0.5521
7 Te 0.9634 0.2436 0.9267
8 Dy 0.1479 0.5357 0.2959
9 Dy 0.8521 0.4643 0.7041
10 Te 0.6828 0.2800 0.3656
11 Te 0.0366 0.7564 0.0733

Computed properties:
Its raw formation energy is -0.65 eV per atom.

***

Record 9
This record from the Alexandria database describes crystalline Sm4DyTe5 at its relaxed geometry. The functional is PBE-GGA.

Lattice parameters (Å, degrees): 4.4052 4.4052 16.1226 97.85 97.85 90.00
Fractional positions:
1 Dy 0.0000 0.0000 0.0000
2 Te 0.2957 0.2957 0.5915
3 Te 0.7043 0.7043 0.4085
4 Sm 0.6041 0.6041 0.2081
5 Te 0.0957 0.0957 0.1913
6 Te 0.5000 0.5000 0.0000
7 Sm 0.1929 0.1929 0.3857
8 Te 0.9043 0.9043 0.8087
9 Sm 0.3959 0.3959 0.7919
10 Sm 0.8071 0.8071 0.6143

Computed properties:
Its raw formation energy is -1.36 eV per atom.

***

Record 10
This record from the Alexandria database describes crystalline Sm2DyTe at its relaxed geometry. The functional is PBE-GGA.

Lattice parameters (Å, degrees): 3.9350 3.9350 7.9428 90.00 90.00 90.00
Fractional positions:
1 Te 0.5000 0.5000 0.5000
2 Dy 0.5000 0.5000 0.0000
3 Sm 0.0000 0.0000 0.2753
4 Sm 0.0000 0.0000 0.7247

Computed properties:
Its raw formation energy is -0.57 eV per atom. For the relative energy among the computed polymorphs, the calculation gives 0.0000 eV/atom.

***

Record 11
This record from the Alexandria database describes crystalline SmDy3Te3 at its relaxed geometry. The functional is PBE-GGA.

Lattice parameters (Å, degrees): 9.0527 9.0527 7.8830 54.96 54.96 60.00
Fractional positions:
1 Te 0.6824 0.1035 0.7553
2 Te 0.3176 0.8965 0.2447
3 Dy 0.9225 0.1541 0.2564
4 Sm 0.3106 0.3106 0.0683
5 Dy 0.0775 0.8459 0.7436
6 Te 0.1035 0.4588 0.7553
7 Sm 0.6894 0.6894 0.9317
8 Dy 0.8459 0.3330 0.7436
9 Te 0.5412 0.3176 0.2447
10 Dy 0.6670 0.9225 0.2564
11 Dy 0.3330 0.0775 0.7436
12 Te 0.4588 0.6824 0.7553
13 Dy 0.1541 0.6670 0.2564
14 Te 0.8965 0.5412 0.2447

Computed properties:
Its raw formation energy is -1.03 eV per atom.

***

Record 12
This record from the Alexandria database describes crystalline SmDyTe at its relaxed geometry. The functional is PBE-GGA.

Lattice parameters (Å, degrees): 4.0782 6.1312 8.0535 90.00 104.66 90.00
Fractional positions:
1 Sm 0.6406 0.2500 0.7812
2 Sm 0.3594 0.7500 0.2188
3 Te 0.2984 0.2500 0.0969
4 Te 0.7016 0.7500 0.9031
5 Dy 0.0551 0.7500 0.6100
6 Dy 0.9449 0.2500 0.3900

Computed properties:
Its raw formation energy is -0.80 eV per atom. For the relative energy among the computed polymorphs, the calculation gives 0.0000 eV/atom.